1.
The following is a DFT calculation (PBE-GGA) of a geometry-optimized YAsBr2 structure. Values from VASP.

- SG: Pmmm, No. 47
- V: 96.6 Å³/cell
- E above lowest polymorph: 0.466 eV per atom
- Formation energy (no corrections): -653 meV/atom
- Magnetization: 0.000 μB per atom
- Total energy: -4.27 eV per atom

Geometry as Quantum ESPRESSO input:
```
&SYSTEM
  ibrav = 0, nat = 4, ntyp = 3
/
ATOMIC_SPECIES
Y 88.91 Y.upf
As 74.92 As.upf
Br 79.90 Br.upf
ATOMIC_POSITIONS angstrom
Y 0.000 0.000 0.000
As 1.905 0.000 2.697
Br 0.000 2.351 2.697
Br 1.905 2.351 0.000
CELL_PARAMETERS angstrom
3.810 0.000 0.000
0.000 4.703 0.000
0.000 0.000 5.394
```



2.
The following is a DFT calculation (PBE-GGA) of a geometry-optimized CePmTe2 structure. Values from VASP.

- SG: Fm-3m, No. 225
- V: 459.3 Å³/cell
- E above lowest polymorph: 0.124 eV per atom
- Formation energy (no corrections): -1269 meV/atom
- Magnetization: 0.476 μB per atom
- Total energy: -5.51 eV per atom

Geometry as Quantum ESPRESSO input:
```
&SYSTEM
  ibrav = 0, nat = 16, ntyp = 3
/
ATOMIC_SPECIES
Ce 140.12 Ce.upf
Pm 145.00 Pm.upf
Te 127.60 Te.upf
ATOMIC_POSITIONS angstrom
Ce 0.000 0.000 0.000
Ce 0.000 3.858 3.858
Ce 3.858 0.000 3.858
Ce 3.858 3.858 0.000
Pm 0.000 0.000 3.858
Pm 0.000 3.858 0.000
Pm 3.858 0.000 0.000
Pm 3.858 3.858 3.858
Te 1.929 1.929 1.929
Te 1.929 1.929 5.787
Te 1.929 5.787 1.929
Te 1.929 5.787 5.787
Te 5.787 1.929 1.929
Te 5.787 1.929 5.787
Te 5.787 5.787 1.929
Te 5.787 5.787 5.787
CELL_PARAMETERS angstrom
7.715 0.000 0.000
0.000 7.715 0.000
0.000 0.000 7.715
```



3.
The following is a DFT calculation (PBE-GGA) of a geometry-optimized Ta2ZnHW structure. Values from VASP.

- SG: P4/mmm, No. 123
- V: 69.0 Å³/cell
- Magnetization: 0.000 μB per atom
- Total energy: -8.17 eV per atom

Geometry as Quantum ESPRESSO input:
```
&SYSTEM
  ibrav = 0, nat = 5, ntyp = 4
/
ATOMIC_SPECIES
Ta 180.95 Ta.upf
Zn 65.41 Zn.upf
H 1.01 H.upf
W 183.84 W.upf
ATOMIC_POSITIONS angstrom
Ta 0.000 2.110 0.000
Ta 2.110 0.000 0.000
Zn 0.000 0.000 1.937
H 2.110 2.110 0.000
W 2.110 2.110 1.937
CELL_PARAMETERS angstrom
4.220 0.000 0.000
0.000 4.220 0.000
0.000 0.000 3.873
```